Here is a relaxed Y2ErCd4 crystal from Alexandria via LeMat-Bulk. Energies are from PBE-GGA.

Lattice parameters (Å, degrees): 5.333 5.333 13.673 90.00 90.00 90.00
Element x y z (fractional)
Y (0.000, 0.000, 0.240)
Y (0.000, 0.000, 0.760)
Y (0.500, 0.500, 0.260)
Y (0.500, 0.500, 0.740)
Er (0.000, 0.000, 0.500)
Er (0.500, 0.500, 0.000)
Cd (0.000, 0.500, 0.114)
Cd (0.000, 0.500, 0.386)
Cd (0.000, 0.500, 0.614)
Cd (0.000, 0.500, 0.886)
Cd (0.500, 0.000, 0.114)
Cd (0.500, 0.000, 0.386)
Cd (0.500, 0.000, 0.614)
Cd (0.500, 0.000, 0.886)

space-group type	No. 139
formation energy	-0.17	eV/atom
volume	27.77	Å³/atom
DOS at the Fermi energy	9.8	states/eV per cell

Here is a relaxed Na2LaCd crystal from Alexandria via LeMat-Bulk. Energies are from PBE-GGA.

Lattice parameters (Å, degrees): 3.434 3.434 37.044 90.00 90.00 120.00
Element x y z (fractional)
Na (0.000, 0.000, 0.094)
Na (0.000, 0.000, 0.906)
Na (0.333, 0.667, 0.573)
Na (0.333, 0.667, 0.761)
Na (0.667, 0.333, 0.239)
Na (0.667, 0.333, 0.427)
La (0.000, 0.000, 0.000)
La (0.333, 0.667, 0.667)
La (0.667, 0.333, 0.333)
Cd (0.000, 0.000, 0.500)
Cd (0.333, 0.667, 0.167)
Cd (0.667, 0.333, 0.833)

space-group type	No. 166
formation energy	0.12	eV/atom
volume	31.53	Å³/atom
E above lowest polymorph	0.0	meV/atom
DOS at the Fermi energy	11.7	states/eV per cell

Here is a relaxed KSr2CoI crystal from Alexandria via LeMat-Bulk. Energies are from PBE-GGA.

Lattice parameters (Å, degrees): 7.091 7.091 6.063 90.00 90.00 90.00
Element x y z (fractional)
K (0.000, 0.000, 0.000)
Sr (0.000, 0.500, 0.000)
Sr (0.500, 0.000, 0.000)
Co (0.500, 0.500, 0.500)
I (0.000, 0.000, 0.500)

space-group type	No. 123
volume	60.96	Å³/atom
DFT total energy	-1.783	eV per atom
DOS at the Fermi energy	3.6	states/eV per cell

Number 1: theoretical density 6.79 Mg/m³. Number 2: theoretical density 3.91 Mg/m³. Number 3: theoretical density 2.18 Mg/m³.